1.
DFT (meta-GGA SCAN) results for a PBEsol-optimized structure of Mg30CdNiO32.

## Properties
Total magnetization (μB/f.u.): 1.9
Uncorrected formation energy (eV/atom): -2.8915

Lattice parameters (Å, degrees): 8.472 8.472 8.473 90.00 90.00 90.00
Each line ends with the local moment (μB).
Atoms (fractional coordinates):
Mg1 0.000 0.500 0.000  0.00
Mg2 0.500 0.000 0.000  0.00
Mg3 0.000 0.000 0.500  0.01
Mg4 0.000 0.500 0.500  0.00
Mg5 0.500 0.000 0.500  0.00
Mg6 0.500 0.500 0.500  0.00
Mg7 0.247 0.247 0.000  0.00
Mg8 0.247 0.753 0.000  0.00
Mg9 0.753 0.247 0.000  0.00
Mg10 0.753 0.753 0.000  0.00
Mg11 0.250 0.250 0.500  0.00
Mg12 0.250 0.750 0.500  0.00
Mg13 0.750 0.250 0.500  0.00
Mg14 0.750 0.750 0.500  0.00
Mg15 0.000 0.249 0.249  0.00
Mg16 0.000 0.751 0.249  0.00
Mg17 0.500 0.248 0.252  0.00
Mg18 0.500 0.752 0.252  0.00
Mg19 0.000 0.249 0.751  0.00
Mg20 0.000 0.751 0.751  0.00
Mg21 0.500 0.248 0.748  0.00
Mg22 0.500 0.752 0.748  0.00
Mg23 0.249 0.000 0.249  0.00
Mg24 0.248 0.500 0.252  0.00
Mg25 0.751 0.000 0.249  0.00
Mg26 0.752 0.500 0.252  0.00
Mg27 0.249 0.000 0.751  0.00
Mg28 0.248 0.500 0.748  0.00
Mg29 0.751 0.000 0.751  0.00
Mg30 0.752 0.500 0.748  0.00
Cd1 0.500 0.500 0.000  0.00
Ni1 0.000 0.000 0.000  1.63
O1 0.000 0.000 0.251  0.05
O2 0.000 0.500 0.251  0.00
O3 0.500 0.000 0.251  0.00
O4 0.500 0.500 0.264  0.00
O5 0.000 0.000 0.749  0.05
O6 0.000 0.500 0.749  0.00
O7 0.500 0.000 0.749  0.00
O8 0.500 0.500 0.736  0.00
O9 0.250 0.250 0.249  0.00
O10 0.250 0.750 0.249  0.00
O11 0.750 0.250 0.249  0.00
O12 0.750 0.750 0.249  0.00
O13 0.250 0.250 0.751  0.00
O14 0.250 0.750 0.751  0.00
O15 0.750 0.250 0.751  0.00
O16 0.750 0.750 0.751  0.00
O17 0.000 0.249 0.000  0.04
O18 0.000 0.751 0.000  0.04
O19 0.500 0.236 0.000  0.00
O20 0.500 0.764 0.000  0.00
O21 0.000 0.249 0.500  0.00
O22 0.000 0.751 0.500  0.00
O23 0.500 0.248 0.500  0.00
O24 0.500 0.752 0.500  0.00
O25 0.249 0.000 0.000  0.04
O26 0.236 0.500 0.000  0.00
O27 0.751 0.000 0.000  0.04
O28 0.764 0.500 0.000  0.00
O29 0.249 0.000 0.500  0.00
O30 0.248 0.500 0.500  0.00
O31 0.751 0.000 0.500  0.00
O32 0.752 0.500 0.500  0.00



2.
DFT (meta-GGA SCAN) results for a PBEsol-optimized structure of LaIn2CuO.

## Properties
Total magnetization (μB/f.u.): 0.0
Uncorrected formation energy (eV/atom): -0.6902

Lattice parameters (Å, degrees): 4.671 4.791 4.791 90.00 90.00 90.00
Atoms (fractional coordinates):
In1 0.000 0.000 0.500
In2 0.000 0.500 0.000
O1 0.000 0.000 0.000
Cu1 0.500 0.500 0.500
La1 0.500 0.000 0.000



3.
DFT (meta-GGA SCAN) results for a PBEsol-optimized structure of TcAg2BI.

## Properties
Total magnetization (μB/f.u.): 1.8
Uncorrected formation energy (eV/atom): 2.2953

Lattice parameters (Å, degrees): 4.908 5.144 5.144 90.00 90.00 90.00
Each line ends with the local moment (μB).
Atoms (fractional coordinates):
I1 0.000 0.000 0.000  -0.05
B1 0.500 0.500 0.500  -0.24
Tc1 0.500 0.000 0.000  2.44
Ag1 0.000 0.000 0.500  -0.02
Ag2 0.000 0.500 0.000  -0.02



4.
DFT (meta-GGA SCAN) results for a PBEsol-optimized structure of LiCuRu2.

## Properties
Total magnetization (μB/f.u.): 0.0
ΔH_f (0 K) (eV per formula unit): 1.21
Energy relative to the lowest polymorph listed for this composition (eV per atom): 0.163

Lattice parameters (Å, degrees): 2.541 2.541 8.859 90.00 90.00 114.97
Atoms (fractional coordinates):
Cu1 0.500 0.500 0.500
Li1 0.500 0.500 0.000
Ru1 0.000 0.000 0.255
Ru2 0.000 0.000 0.745



5.
DFT (meta-GGA SCAN) results for a PBEsol-optimized structure of CdB3Os.

## Properties
Total magnetization (μB/f.u.): 1.1
ΔH_f (0 K) (eV per formula unit): 15.39

Lattice parameters (Å, degrees): 4.088 4.088 4.088 90.00 90.00 90.00
Each line ends with the local moment (μB).
Atoms (fractional coordinates):
B1 0.000 0.500 0.000  -0.07
B2 0.000 0.000 0.500  -0.07
B3 0.500 0.000 0.000  -0.07
Os1 0.500 0.500 0.500  1.33
Cd1 0.000 0.000 0.000  0.02



6.
DFT (meta-GGA SCAN) results for a PBEsol-optimized structure of Si3PdBr.

## Properties
Total magnetization (μB/f.u.): 0.0
Uncorrected formation energy (eV/atom): 0.6284

Lattice parameters (Å, degrees): 4.709 4.709 4.709 90.00 90.00 90.00
Atoms (fractional coordinates):
Si1 0.000 0.500 0.000
Si2 0.000 0.000 0.500
Si3 0.500 0.000 0.000
Br1 0.500 0.500 0.500
Pd1 0.000 0.000 0.000



7.
DFT (meta-GGA SCAN) results for a PBEsol-optimized structure of MgCo2As.

## Properties
Total magnetization (μB/f.u.): 1.8
ΔH_f (0 K) (eV per formula unit): 0.21

Lattice parameters (Å, degrees): 2.947 4.115 4.580 106.73 108.77 90.00
Each line ends with the local moment (μB).
Atoms (fractional coordinates):
As1 0.736 0.180 0.473  -0.01
Co1 0.010 0.062 0.020  1.07
Co2 0.252 0.710 0.505  0.93
Mg1 0.501 0.548 0.003  -0.03



8.
DFT (meta-GGA SCAN) results for a PBEsol-optimized structure of HfTiBi2.

## Properties
Total magnetization (μB/f.u.): 0.0
ΔH_f (0 K) (eV per formula unit): -0.03

Lattice parameters (Å, degrees): 5.001 5.001 5.001 60.00 60.00 60.00
Atoms (fractional coordinates):
Hf1 0.500 0.500 0.500
Bi1 0.250 0.250 0.250
Bi2 0.750 0.750 0.750
Ti1 0.000 0.000 0.000